Record 1
A relaxed TcPtAu3 crystal, computed with PBE.

Structure (POSCAR):
```
TcPtAu3
1.0
5.0464 0.0000 0.0000
0.0000 5.0464 0.0000
0.0000 0.0000 5.0464
Tc Pt Au
1 1 3
direct
0.0000 0.0000 0.0000
0.5000 0.5000 0.5000
0.0000 0.5000 0.5000
0.5000 0.0000 0.5000
0.5000 0.5000 0.0000
```

D(E_F): 0.85 states/eV per atom
energy above the most stable polymorph in this dataset: 0.000 eV per atom
M_tot: 0.913 μB/atom
symmetry: Pm-3m

***

Record 2
A relaxed ScSiPt2O crystal, computed with PBE.

Structure (POSCAR):
```
ScSiPt2O
1.0
4.7990 0.0000 0.0000
0.0000 4.7990 0.0000
0.0000 0.0000 3.4464
Sc Si Pt O
1 1 2 1
direct
0.0000 0.0000 0.0000
0.5000 0.5000 0.5000
0.0000 0.5000 0.5000
0.5000 0.0000 0.5000
0.5000 0.5000 0.0000
```

D(E_F): 0.35 states/eV per atom
M_tot: 0.000 μB/atom
symmetry: P4/mmm
raw formation energy: -0.84 eV per atom

***

Record 3
A relaxed BaSnGeAu3 crystal, computed with PBE.

Structure (POSCAR):
```
BaSnGeAu3
1.0
3.4487 -7.4224 0.0000
3.4487 7.4224 0.0000
0.0000 0.0000 6.7827
Ba Sn Ge Au
2 2 2 6
direct
0.1965 0.8035 0.7500
0.8035 0.1965 0.2500
0.0653 0.9347 0.2500
0.9347 0.0653 0.7500
0.4109 0.5891 0.2500
0.5891 0.4109 0.7500
0.2450 0.7550 0.2500
0.2877 0.2877 0.0000
0.2877 0.2877 0.5000
0.7123 0.7123 0.0000
0.7123 0.7123 0.5000
0.7550 0.2450 0.7500
```

D(E_F): 0.47 states/eV per atom
M_tot: 0.000 μB/atom
symmetry: Cmcm
electronic total energy: -3.767 eV/atom

***

Record 4
A relaxed K3Al2Au4 crystal, computed with PBE.

Structure (POSCAR):
```
K3Al2Au4
1.0
6.3666 -2.3128 0.0000
6.3666 2.3128 0.0000
-2.7658 0.0000 8.5836
K Al Au
3 2 4
direct
0.0000 0.0000 0.0000
0.3999 0.3999 0.3099
0.6001 0.6001 0.6901
0.3081 0.3081 0.6578
0.6919 0.6919 0.3422
0.1361 0.1361 0.4056
0.2691 0.2691 0.9155
0.7309 0.7309 0.0845
0.8639 0.8639 0.5944
```

D(E_F): 0.34 states/eV per atom
energy above the most stable polymorph in this dataset: 0.021 eV per atom
M_tot: 0.000 μB/atom
symmetry: C2/m

***

Record 5
A relaxed YSbRh2 crystal, computed with PBE.

Structure (POSCAR):
```
YSbRh2
1.0
3.4931 0.0000 0.0000
0.0000 3.4931 0.0000
0.0000 0.0000 6.2716
Y Sb Rh
1 1 2
direct
0.0000 0.0000 0.0000
0.0000 0.0000 0.5000
0.5000 0.5000 0.2660
0.5000 0.5000 0.7340
```

D(E_F): 0.71 states/eV per atom
M_tot: 0.000 μB/atom
symmetry: P4/mmm
raw formation energy: -0.59 eV per atom

***

Record 6
A relaxed LiTe2Pb2 crystal, computed with PBE.

Structure (POSCAR):
```
LiTe2Pb2
1.0
8.2647 0.0000 0.0000
0.0000 8.2647 0.0000
0.0000 0.0000 4.6027
Li Te Pb
2 4 4
direct
0.0000 0.0000 0.0000
0.5000 0.5000 0.0000
0.1712 0.3288 0.0000
0.3288 0.8288 0.0000
0.6712 0.1712 0.0000
0.8288 0.6712 0.0000
0.1454 0.6454 0.5000
0.3546 0.1454 0.5000
0.6454 0.8546 0.5000
0.8546 0.3546 0.5000
```

D(E_F): 0.59 states/eV per atom
energy above the most stable polymorph in this dataset: 0.000 eV per atom
M_tot: 0.000 μB/atom
symmetry: P4/mbm
raw formation energy: -0.33 eV per atom

***

Record 7
A relaxed Th2Ge3Pt4Rh crystal, computed with PBE.

Structure (POSCAR):
```
Th2Ge3Pt4Rh
1.0
4.1431 0.0000 0.0000
0.0000 4.1431 0.0000
0.0000 0.0000 11.2337
Th Ge Pt Rh
2 3 4 1
direct
0.0000 0.5000 0.2415
0.5000 0.0000 0.7585
0.0000 0.0000 0.0000
0.0000 0.5000 0.6278
0.5000 0.0000 0.3722
0.0000 0.0000 0.5000
0.0000 0.5000 0.8439
0.5000 0.0000 0.1561
0.5000 0.5000 0.5000
0.5000 0.5000 0.0000
```

D(E_F): 0.69 states/eV per atom
M_tot: 0.000 μB/atom
symmetry: P-4m2
electronic total energy: -6.856 eV/atom

***

Record 8
A relaxed AlZnPd5 crystal, computed with PBE.

Structure (POSCAR):
```
AlZnPd5
1.0
4.3806 -4.4115 0.0000
4.3806 4.4115 0.0000
-3.3106 0.0000 5.7908
Al Zn Pd
2 2 10
direct
0.2019 0.7981 0.7500
0.7981 0.2019 0.2500
0.0000 0.5000 0.0000
0.5000 0.0000 0.5000
0.0699 0.9301 0.2500
0.1651 0.3544 0.6338
0.3061 0.5919 0.4135
0.3544 0.1651 0.1338
0.4081 0.6939 0.0865
0.5919 0.3061 0.9135
0.6456 0.8349 0.8662
0.6939 0.4081 0.5865
0.8349 0.6456 0.3662
0.9301 0.0699 0.7500
```

D(E_F): 0.50 states/eV per atom
energy above the most stable polymorph in this dataset: 0.083 eV per atom
M_tot: 0.000 μB/atom
symmetry: C2/c

***

Record 9
A relaxed Cs4InI6 crystal, computed with PBE.

Structure (POSCAR):
```
Cs4InI6
1.0
10.4627 0.0000 0.0000
0.0000 10.4627 0.0000
0.0000 0.0000 10.6026
Cs In I
8 2 12
direct
0.1645 0.3355 0.2500
0.1645 0.3355 0.7500
0.3355 0.8355 0.2500
0.3355 0.8355 0.7500
0.6645 0.1645 0.2500
0.6645 0.1645 0.7500
0.8355 0.6645 0.2500
0.8355 0.6645 0.7500
0.0000 0.0000 0.0000
0.5000 0.5000 0.5000
0.0000 0.0000 0.2940
0.0000 0.0000 0.7060
0.1020 0.6998 0.0000
0.1998 0.6020 0.5000
0.3002 0.1020 0.0000
0.3980 0.1998 0.5000
0.5000 0.5000 0.2060
0.5000 0.5000 0.7940
0.6020 0.8002 0.5000
0.6998 0.8980 0.0000
0.8002 0.3980 0.5000
0.8980 0.3002 0.0000
```

D(E_F): 0.44 states/eV per atom
M_tot: 0.000 μB/atom
symmetry: P4/mnc
raw formation energy: -1.23 eV per atom

***

Record 10
A relaxed Ca3PuTe4 crystal, computed with PBE.

Structure (POSCAR):
```
Ca3PuTe4
1.0
4.4959 0.0000 0.0000
0.0000 4.4959 0.0000
0.0000 0.0000 12.8023
Ca Pu Te
3 1 4
direct
0.0000 0.0000 0.0000
0.5000 0.5000 0.2492
0.5000 0.5000 0.7508
0.0000 0.0000 0.5000
0.0000 0.0000 0.2497
0.0000 0.0000 0.7503
0.5000 0.5000 0.0000
0.5000 0.5000 0.5000
```

D(E_F): 1.76 states/eV per atom
energy above the most stable polymorph in this dataset: 0.000 eV per atom
M_tot: 0.745 μB/atom
symmetry: P4/mmm
raw formation energy: -1.48 eV per atom

***

Record 11
A relaxed Hf2OsAu crystal, computed with PBE.

Structure (POSCAR):
```
Hf2OsAu
1.0
3.2408 0.0000 0.0000
0.0000 3.2408 0.0000
0.0000 0.0000 7.0432
Hf Os Au
2 1 1
direct
0.0000 0.0000 0.2338
0.0000 0.0000 0.7662
0.5000 0.5000 0.0000
0.5000 0.5000 0.5000
```

D(E_F): 0.68 states/eV per atom
M_tot: 0.000 μB/atom
symmetry: P4/mmm
electronic total energy: -9.165 eV/atom

***

Record 12
A relaxed Ac5La4Tb2 crystal, computed with PBE.

Structure (POSCAR):
```
Ac5La4Tb2
1.0
9.4205 0.0000 0.0000
0.0000 3.7365 0.0000
-0.0754 0.0000 12.5539
Ac La Tb
5 4 2
direct
0.0000 0.0000 0.0000
0.1703 0.0000 0.4279
0.4410 0.0000 0.6449
0.5590 0.0000 0.3551
0.8297 0.0000 0.5721
0.1107 0.5000 0.7413
0.2987 0.5000 0.1629
0.7013 0.5000 0.8371
0.8893 0.5000 0.2586
0.3657 0.0000 0.9140
0.6343 0.0000 0.0860
```

D(E_F): 1.72 states/eV per atom
M_tot: 0.000 μB/atom
symmetry: P2/m
electronic total energy: -4.400 eV/atom